Ba2Ni3O7 | PBE+U | relaxed

Cell lengths 3.7010, 3.7320, 13.1228 Å; angles 90.00, 90.00, 90.00 degrees
Closest atoms and distances in Å follow each position.
Positions (direct):
Ba (0.5000, 0.5000, 0.8028)  8 O 2.74-2.79
Ba (0.5000, 0.5000, 0.1972)  8 O 2.74-2.79
Ni (0.0000, 0.0000, 0.6191)  4 O 1.88-1.89
Ni (0.0000, 0.0000, 0.3809)  4 O 1.88-1.89
Ni (0.0000, 0.0000, 0.0000)  4 O 1.79-1.87
O (0.0000, 0.5000, 0.0000)  2 Ni 1.87
O (0.5000, 0.0000, 0.6447)  2 Ni 1.88
O (0.5000, 0.0000, 0.3553)  2 Ni 1.88
O (0.0000, 0.5000, 0.6434)  2 Ni 1.89
O (0.0000, 0.5000, 0.3566)  2 Ni 1.89
O (0.0000, 0.0000, 0.8632)  1 Ni 1.79
O (0.0000, 0.0000, 0.1368)  1 Ni 1.79

Calculated values
M_tot, Bohr magnetons per cell: 4.77
Space-group type: Pmmm, No. 47
VASP energy, eV/atom: -4.885
Calculated density, g/cm3: 5.16